Entry 1:
Below is Sc2SiNi after structural relaxation, with properties calculated at the GGA-PBEsol level.

Properties
Its uncorrected formation energy is -704 meV/atom.

Cell lengths 3.9416, 5.2579, 5.2579 Å; angles 38.57, 90.00, 90.00 degrees
Last column: nearest neighbours and their distance in Å.
Sites, in units of the cell vectors:
Sc 0.0000 0.0000 0.0000  4 Si 2.73, 3 Ni 2.75-2.84
Sc 0.5000 0.2905 0.2905  4 Ni 2.73, 3 Si 2.75-2.83
Si 0.5000 0.5752 0.5752  2 Ni 2.41
Ni 0.0000 0.7143 0.7143  2 Si 2.41

Entry 2:
Below is Be2VRu2 after structural relaxation, with properties calculated at the GGA-PBEsol level.

Properties
For the formation energy, the calculation gives -163 kJ/mol of formula units.

Cell lengths 6.1284, 6.1284, 2.8762 Å; angles 90.00, 90.00, 90.00 degrees
Last column: nearest neighbours and their distance in Å.
Sites, in units of the cell vectors:
Be 0.1212 0.3788 0.0000  1 Be 2.10, 6 Ru 2.28-2.34
Be 0.3788 0.8788 0.0000  1 Be 2.10, 6 Ru 2.28-2.34
Be 0.6212 0.1212 0.0000  1 Be 2.10, 6 Ru 2.28-2.34
Be 0.8788 0.6212 0.0000  1 Be 2.10, 6 Ru 2.28-2.34
V 0.0000 0.0000 0.0000  4 Be 2.44, 8 Ru 2.68
V 0.5000 0.5000 0.0000  4 Be 2.44, 8 Ru 2.68
Ru 0.1744 0.6744 0.5000  6 Be 2.28-2.34
Ru 0.3256 0.1744 0.5000  6 Be 2.28-2.34
Ru 0.6744 0.8256 0.5000  6 Be 2.28-2.34
Ru 0.8256 0.3256 0.5000  6 Be 2.28-2.34

Entry 3:
Below is ZrAlOs2 after structural relaxation, with properties calculated at the GGA-PBEsol level.

Properties
For the formation energy, the calculation gives -68 kJ/mol of formula units.

Cell lengths 2.8479, 4.0525, 5.3964 Å; angles 90.00, 90.00, 90.00 degrees
Last column: nearest neighbours and their distance in Å.
Sites, in units of the cell vectors:
Zr 0.0000 0.0000 0.0000  6 Os 2.68-2.82, 2 Zr 2.85, 4 Al 2.92
Al 0.5000 0.5000 0.2855  5 Os 2.52-2.73
Os 0.0000 0.0000 0.4969  2 Zr 2.68-2.71, 4 Al 2.73, 6 Os 2.83-2.85
Os 0.5000 0.5000 0.7516  1 Al 2.52, 4 Zr 2.82

Entry 4:
Below is OsPbAu2 after structural relaxation, with properties calculated at the GGA-PBEsol level.

Properties
For the formation energy, the calculation gives 246 kJ/mol of formula units.

Cell lengths 3.0919, 4.6575, 4.9969 Å; angles 90.00, 90.00, 90.00 degrees
Last column: nearest neighbours and their distance in Å.
Sites, in units of the cell vectors:
Os 0.0000 0.0000 0.0000  8 Au 2.82-3.06, 2 Pb 2.92, 2 Os 3.09
Pb 0.0000 0.5000 0.6481  8 Au 2.85-3.03, 2 Os 2.92, 2 Pb 3.09
Au 0.5000 0.0000 0.4719  4 Os 2.82-3.06, 4 Au 2.90-3.09, 4 Pb 2.93
Au 0.5000 0.5000 0.1277  4 Pb 2.85-3.03, 4 Os 2.87, 4 Au 2.90-3.09

Entry 5:
Below is LaAlSeBr2 after structural relaxation, with properties calculated at the GGA-PBEsol level.

Properties
Its uncorrected formation energy is -908 meV/atom.

Cell lengths 5.7574, 5.7574, 5.6954 Å; angles 90.00, 90.00, 90.00 degrees
Last column: nearest neighbours and their distance in Å.
Sites, in units of the cell vectors:
La 0.0000 0.0000 0.0000  2 Se 2.85, 4 Br 2.88
Al 0.5000 0.5000 0.5000  8 Br 4.05, 4 Se 4.07
Se 0.0000 0.0000 0.5000  2 La 2.85
Br 0.0000 0.5000 0.0000  2 La 2.88
Br 0.5000 0.0000 0.0000  2 La 2.88

Entry 6:
Below is YTl2Pt after structural relaxation, with properties calculated at the GGA-PBEsol level.

Properties
For the formation energy, the calculation gives -155 kJ/mol of formula units.

Cell lengths 4.9946, 4.9946, 4.9946 Å; angles 60.00, 60.00, 60.00 degrees
Last column: nearest neighbours and their distance in Å.
Sites, in units of the cell vectors:
Y 0.0000 0.0000 0.0000  4 Pt 3.06, 4 Tl 3.06
Tl 0.5000 0.5000 0.5000  4 Tl 3.06, 4 Pt 3.06
Tl 0.7500 0.7500 0.7500  4 Y 3.06, 4 Tl 3.06
Pt 0.2500 0.2500 0.2500  4 Tl 3.06, 4 Y 3.06

Entry 7:
Below is LaHfAsCl2 after structural relaxation, with properties calculated at the GGA-PBEsol level.

Properties
Its uncorrected formation energy is 443 meV/atom.

Cell lengths 4.9494, 4.9494, 5.9718 Å; angles 90.00, 90.00, 90.00 degrees
Last column: nearest neighbours and their distance in Å.
Sites, in units of the cell vectors:
La 0.0000 0.0000 0.0000  2 As 2.99
Hf 0.5000 0.5000 0.0000  4 La 3.50, 8 Cl 3.88
As 0.0000 0.0000 0.5000  4 Cl 2.47
Cl 0.0000 0.5000 0.5000  2 As 2.47
Cl 0.5000 0.0000 0.5000  2 As 2.47

Entry 8:
Below is KCdPt2 after structural relaxation, with properties calculated at the GGA-PBEsol level.

Properties
The energy above the most stable polymorph in this dataset is 71.0 meV/atom. For the formation energy, the calculation gives 50 kJ/mol of formula units.

Cell lengths 2.8669, 4.4482, 6.8084 Å; angles 90.00, 101.95, 90.00 degrees
Last column: nearest neighbours and their distance in Å.
Sites, in units of the cell vectors:
K 0.0000 0.0000 0.0000  2 K 2.87, 4 Pt 3.20-3.21
Cd 0.3123 0.5000 0.6331  6 Pt 2.80-2.81, 2 Cd 2.87
Pt 0.6346 0.5000 0.2718  4 Pt 2.66-2.87, 2 Cd 2.80
Pt 0.7416 0.0000 0.4898  4 Pt 2.66-2.87, 4 Cd 2.81

Entry 9:
Below is Na5WNO4 after structural relaxation, with properties calculated at the GGA-PBEsol level.

Properties
Its uncorrected formation energy is -1548 meV/atom.

Cell lengths 5.6986, 5.6986, 10.5784 Å; angles 90.00, 90.00, 61.04 degrees
Last column: nearest neighbours and their distance in Å.
Sites, in units of the cell vectors:
Na 0.0301 0.3363 0.2311  3 O 2.27-2.47, 1 N 2.37
Na 0.0894 0.9106 0.5000  4 O 2.25-2.27
Na 0.2918 0.3280 0.9811  4 O 2.28-2.53
Na 0.3280 0.2918 0.4811  4 O 2.28-2.53
Na 0.3363 0.0301 0.7311  3 O 2.27-2.47, 1 N 2.37
Na 0.6637 0.9699 0.2311  3 O 2.27-2.47, 1 N 2.37
Na 0.6720 0.7082 0.9811  4 O 2.28-2.53
Na 0.7082 0.6720 0.4811  4 O 2.28-2.53
Na 0.9106 0.0894 0.0000  4 O 2.25-2.27
Na 0.9699 0.6637 0.7311  3 O 2.27-2.47, 1 N 2.37
W 0.2906 0.7094 0.2148  1 N 1.79, 4 O 1.94-1.96
W 0.7094 0.2906 0.7148  1 N 1.79, 4 O 1.94-1.96
N 0.4060 0.5940 0.6829  1 W 1.79
N 0.5940 0.4060 0.1829  1 W 1.79
O 0.0307 0.6956 0.1009  1 W 1.94
O 0.0890 0.6401 0.3456  1 W 1.96
O 0.3044 0.9693 0.1009  1 W 1.94
O 0.3599 0.9110 0.3456  1 W 1.96
O 0.6401 0.0890 0.8456  1 W 1.96
O 0.6956 0.0307 0.6009  1 W 1.94
O 0.9110 0.3599 0.8456  1 W 1.96
O 0.9693 0.3044 0.6009  1 W 1.94

Entry 10:
Below is Ag3Pb5 after structural relaxation, with properties calculated at the GGA-PBEsol level.

Properties
For the formation energy, the calculation gives 79 kJ/mol of formula units.

Cell lengths 8.5730, 8.5730, 6.2515 Å; angles 90.00, 90.00, 120.00 degrees
Last column: nearest neighbours and their distance in Å.
Sites, in units of the cell vectors:
Ag 0.0000 0.4033 0.2500  7 Pb 3.01-3.05
Ag 0.0000 0.5967 0.7500  7 Pb 3.01-3.05
Ag 0.4033 0.0000 0.2500  7 Pb 3.01-3.05
Ag 0.4033 0.4033 0.7500  7 Pb 3.01-3.05
Ag 0.5967 0.0000 0.7500  7 Pb 3.01-3.05
Ag 0.5967 0.5967 0.2500  7 Pb 3.01-3.05
Pb 0.0000 0.2409 0.7500  3 Ag 3.01-3.05
Pb 0.0000 0.7591 0.2500  3 Ag 3.01-3.05
Pb 0.2409 0.0000 0.7500  3 Ag 3.01-3.05
Pb 0.2409 0.2409 0.2500  3 Ag 3.01-3.05
Pb 0.3333 0.6667 0.0000  6 Ag 3.04, 2 Pb 3.13
Pb 0.3333 0.6667 0.5000  6 Ag 3.04, 2 Pb 3.13
Pb 0.6667 0.3333 0.0000  6 Ag 3.04, 2 Pb 3.13
Pb 0.6667 0.3333 0.5000  6 Ag 3.04, 2 Pb 3.13
Pb 0.7591 0.0000 0.2500  3 Ag 3.01-3.05
Pb 0.7591 0.7591 0.7500  3 Ag 3.01-3.05

Entry 11:
Below is TlCd2Au after structural relaxation, with properties calculated at the GGA-PBEsol level.

Properties
The energy above the most stable polymorph in this dataset is 26.5 meV/atom. For the formation energy, the calculation gives -5 kJ/mol of formula units.

Cell lengths 3.1476, 4.6216, 6.8459 Å; angles 70.51, 76.79, 89.92 degrees
Last column: nearest neighbours and their distance in Å.
Sites, in units of the cell vectors:
Tl 0.0000 0.0000 0.0000  2 Au 3.03-3.04, 4 Cd 3.08-3.09, 2 Tl 3.15
Cd 0.2089 0.7067 0.5882  4 Au 2.79-2.80
Cd 0.3957 0.3974 0.2081  2 Au 2.84, 4 Tl 3.08-3.09, 2 Cd 3.15
Au 0.7096 0.2078 0.5858  6 Cd 2.79-2.84, 2 Tl 3.03-3.04

Entry 12:
Below is MgInRh after structural relaxation, with properties calculated at the GGA-PBEsol level.

Properties
For the formation energy, the calculation gives -39 kJ/mol of formula units.

Cell lengths 3.0759, 3.0759, 6.6824 Å; angles 90.00, 90.00, 120.00 degrees
Last column: nearest neighbours and their distance in Å.
Sites, in units of the cell vectors:
Mg 0.0000 0.0000 0.0000  3 Rh 2.65
In 0.3333 0.6667 0.3953  3 Rh 2.73
Rh 0.6667 0.3333 0.7051  3 Mg 2.65, 3 In 2.73

Entry 13:
Below is BaSc2Ni after structural relaxation, with properties calculated at the GGA-PBEsol level.

Properties
The energy above the most stable polymorph in this dataset is 529.5 meV/atom. For the formation energy, the calculation gives 188 kJ/mol of formula units.

Cell lengths 5.0834, 5.0834, 5.0834 Å; angles 60.00, 60.00, 60.00 degrees
Last column: nearest neighbours and their distance in Å.
Sites, in units of the cell vectors:
Ba 0.0000 0.0000 0.0000  4 Ni 3.11, 4 Sc 3.11
Sc 0.5000 0.5000 0.5000  4 Sc 3.11, 4 Ni 3.11
Sc 0.7500 0.7500 0.7500  4 Sc 3.11, 4 Ba 3.11
Ni 0.2500 0.2500 0.2500  4 Sc 3.11, 4 Ba 3.11

Number 1: size of the total moment 0.00 μB/cell. Number 2: size of the total moment 0.00 μB/cell. Number 3: size of the total moment 0.00 μB/cell. Number 4: size of the total moment 0.00 μB/cell. Number 5: size of the total moment 0.00 μB/cell. Number 6: size of the total moment 0.00 μB/cell. Number 7: size of the total moment 0.73 μB/cell. Number 8: size of the total moment 0.00 μB/cell. Number 9: size of the total moment 0.00 μB/cell. Number 10: size of the total moment 0.00 μB/cell. Number 11: size of the total moment 0.00 μB/cell. Number 12: size of the total moment 0.00 μB/cell. Number 13: size of the total moment 0.56 μB/cell.